{"formula": "Sn2SbCl", "functional": "PBE", "state": "relaxed", "raw_formation_energy_kj_per_mol_fu": -115, "magmom_total_mub_per_fu": 0.00, "e_above_lowest_polymorph_ev_per_fu": 0.00, "n_ef_per_ev_cell": 0.2, "lattice_angstrom": [[-1.160, 1.764, -3.949], [-0.090, -2.575, -3.663], [-7.164, -1.850, -1.261]], "species": ["Sb", "Sn", "Sn", "Cl"], "fractional_positions": [[0.000, 0.000, 0.000], [0.255, 0.255, 0.236], [0.745, 0.745, 0.764], [0.500, 0.500, 0.500]]}

{"formula": "CePrIn4", "functional": "PBE", "state": "relaxed", "magmom_total_mub_per_fu": 0.75, "e_above_lowest_polymorph_ev_per_fu": 0.00, "n_ef_per_ev_cell": 9.1, "delta_e_f_ev_per_fu": -2.450, "lattice_angstrom": [[-1.595, 4.416, -1.829], [-3.328, -3.616, 1.112], [-0.576, 2.662, 6.931]], "species": ["Ce", "Pr", "In", "In", "In", "In"], "fractional_positions": [[0.000, 0.000, 0.000], [0.000, 0.000, 0.500], [0.333, 0.667, 0.246], [0.333, 0.667, 0.754], [0.667, 0.333, 0.246], [0.667, 0.333, 0.754]]}

{"formula": "BaCuCl2", "functional": "PBE", "state": "relaxed", "raw_formation_energy_kj_per_mol_fu": -460, "magmom_total_mub_per_fu": 0.76, "e_above_lowest_polymorph_ev_per_fu": 0.00, "n_ef_per_ev_cell": 1.3, "lattice_angstrom": [[4.347, 0.000, 0.000], [0.000, 4.603, 0.129], [0.000, 2.340, 5.547]], "species": ["Ba", "Cu", "Cl", "Cl"], "fractional_positions": [[0.500, 0.586, 0.793], [0.000, 0.605, 0.368], [0.000, 0.992, 0.955], [0.500, 0.316, 0.384]]}

Please write out number 1 again, unchanged.
{"formula": "Sn2SbCl", "functional": "PBE", "state": "relaxed", "raw_formation_energy_kj_per_mol_fu": -115, "magmom_total_mub_per_fu": 0.00, "e_above_lowest_polymorph_ev_per_fu": 0.00, "n_ef_per_ev_cell": 0.2, "lattice_angstrom": [[-1.160, 1.764, -3.949], [-0.090, -2.575, -3.663], [-7.164, -1.850, -1.261]], "species": ["Sb", "Sn", "Sn", "Cl"], "fractional_positions": [[0.000, 0.000, 0.000], [0.255, 0.255, 0.236], [0.745, 0.745, 0.764], [0.500, 0.500, 0.500]]}

What did the third record say?
{"formula": "BaCuCl2", "functional": "PBE", "state": "relaxed", "raw_formation_energy_kj_per_mol_fu": -460, "magmom_total_mub_per_fu": 0.76, "e_above_lowest_polymorph_ev_per_fu": 0.00, "n_ef_per_ev_cell": 1.3, "lattice_angstrom": [[4.347, 0.000, 0.000], [0.000, 4.603, 0.129], [0.000, 2.340, 5.547]], "species": ["Ba", "Cu", "Cl", "Cl"], "fractional_positions": [[0.500, 0.586, 0.793], [0.000, 0.605, 0.368], [0.000, 0.992, 0.955], [0.500, 0.316, 0.384]]}